one) The following is a DFT calculation (GGA-PBE) of Cs3Hg4Sb2 after structural relaxation.

Lattice parameters (Å, degrees): 5.062 7.569 10.634 96.19 90.00 109.54
Fractional positions:
Cs 0.000 0.000 0.000
Hg 0.054 0.108 0.387
Cs 0.668 0.336 0.660
Hg 0.281 0.562 0.939
Sb 0.393 0.786 0.722
Sb 0.607 0.214 0.278
Cs 0.332 0.664 0.340
Hg 0.946 0.892 0.613
Hg 0.719 0.438 0.061

Values from the calculation:
N(E_F)   1.0 states/eV per cell
Total magnetic moment   0.0 μB per cell
SG   C2/m
V   381.47 Å³ per cell

=====

two) The following is a DFT calculation (GGA-PBE) of Cs3Hg4Sb2 after structural relaxation.

Lattice parameters (Å, degrees): 5.483 7.105 11.706 62.97 76.41 67.30
Fractional positions:
Sb 0.296 0.618 0.791
Sb 0.704 0.382 0.209
Hg 0.734 0.617 0.915
Cs 0.387 0.845 0.381
Hg 0.097 0.447 0.357
Cs 0.613 0.155 0.619
Hg 0.266 0.383 0.085
Hg 0.903 0.553 0.643
Cs 0.000 0.000 0.000

Values from the calculation:
N(E_F)   0.8 states/eV per cell
Total magnetic moment   0.0 μB per cell
SG   P-1
V   373.76 Å³ per cell

=====

Energies, relative to the best one, in kJ/mol of atoms: one) 0.0; two) 6.6.

=====

one) The following is a DFT calculation (GGA-PBE) of CsHgSbTe2 after structural relaxation.

Lattice parameters (Å, degrees): 5.944 5.944 5.587 90.00 90.00 90.00
Fractional positions:
Cs 0.500 0.500 0.500
Sb 0.000 0.000 0.500
Te 0.500 0.000 0.000
Te 0.000 0.500 0.000
Hg 0.000 0.000 0.000

Values from the calculation:
N(E_F)   4.6 states/eV per cell
Total magnetic moment   0.0 μB per cell
SG   P4/mmm
V   197.43 Å³ per cell

=====

two) The following is a DFT calculation (GGA-PBE) of CsHgSbTe2 after structural relaxation.

Lattice parameters (Å, degrees): 5.999 5.999 5.763 90.00 90.00 90.00
Fractional positions:
Te 0.500 0.000 0.000
Hg 0.000 0.000 0.500
Cs 0.500 0.500 0.500
Sb 0.000 0.000 0.000
Te 0.000 0.500 0.000

Values from the calculation:
N(E_F)   4.0 states/eV per cell
Total magnetic moment   0.0 μB per cell
SG   P4/mmm
V   207.40 Å³ per cell

=====

three) The following is a DFT calculation (GGA-PBE) of CsHgSbTe2 after structural relaxation.

Lattice parameters (Å, degrees): 7.355 7.355 7.639 90.00 90.00 90.00
Fractional positions:
Te 0.500 0.000 0.000
Sb 0.000 0.000 0.500
Cs 0.000 0.000 0.000
Te 0.000 0.500 0.000
Hg 0.500 0.500 0.500

Values from the calculation:
N(E_F)   10.6 states/eV per cell
Total magnetic moment   6.0 μB per cell
SG   P4/mmm
V   413.18 Å³ per cell

=====

Energies, relative to the best one, in kJ/mol of atoms: one) 32.5; two) 0.0; three) 114.5.

=====

one) The following is a DFT calculation (GGA-PBE) of CsHgSb2Te after structural relaxation.

Lattice parameters (Å, degrees): 8.024 8.024 7.317 90.00 90.00 90.00
Fractional positions:
Hg 0.500 0.500 0.500
Te 0.000 0.000 0.500
Sb 0.000 0.500 0.000
Cs 0.000 0.000 0.000
Sb 0.500 0.000 0.000

Values from the calculation:
N(E_F)   9.3 states/eV per cell
Total magnetic moment   4.6 μB per cell
SG   P4/mmm
V   471.18 Å³ per cell

=====

two) The following is a DFT calculation (GGA-PBE) of CsHgSb2Te after structural relaxation.

Lattice parameters (Å, degrees): 5.686 5.686 6.037 90.00 90.00 90.00
Fractional positions:
Te 0.000 0.000 0.500
Cs 0.500 0.500 0.500
Hg 0.000 0.000 0.000
Sb 0.000 0.500 0.000
Sb 0.500 0.000 0.000

Values from the calculation:
N(E_F)   5.0 states/eV per cell
Total magnetic moment   0.0 μB per cell
SG   P4/mmm
V   195.19 Å³ per cell

=====

Energies, relative to the best one, in kJ/mol of atoms: one) 84.0; two) 0.0.